i:
Material: RePBrCl2
Method: DFT, PBE
State: relaxed

Cell lengths 5.001, 5.001, 5.283 Å; angles 90.00, 90.00, 90.00 degrees
Positions (direct):
1 Re 0.000 0.000 0.000
2 P 0.500 0.500 0.000
3 Br 0.500 0.500 0.500
4 Cl 0.000 0.500 0.500
5 Cl 0.500 0.000 0.500

***

ii:
Material: RePBrCl2
Method: DFT, PBE
State: relaxed

Cell lengths 4.744, 4.744, 4.731 Å; angles 90.00, 90.00, 90.00 degrees
Positions (direct):
1 Re 0.000 0.000 0.000
2 P 0.000 0.000 0.500
3 Br 0.500 0.500 0.500
4 Cl 0.000 0.500 0.000
5 Cl 0.500 0.000 0.000

***

In terms of stability, ii leads; the second structure lies 1.420 eV/atom higher.

***

i:
Material: PRh2BrCl
Method: DFT, PBE
State: relaxed

Cell lengths 4.525, 4.525, 5.024 Å; angles 90.00, 90.00, 90.00 degrees
Positions (direct):
1 P 0.000 0.000 0.000
2 Rh 0.000 0.500 0.000
3 Rh 0.500 0.000 0.000
4 Br 0.000 0.000 0.500
5 Cl 0.500 0.500 0.500

***

ii:
Material: PRh2BrCl
Method: DFT, PBE
State: relaxed

Cell lengths 4.641, 4.641, 5.091 Å; angles 90.00, 90.00, 90.00 degrees
Positions (direct):
1 P 0.000 0.000 0.000
2 Rh 0.000 0.500 0.500
3 Rh 0.500 0.000 0.500
4 Br 0.500 0.500 0.500
5 Cl 0.500 0.500 0.000

***

In terms of stability, i leads; the second structure lies 0.895 eV/atom higher.

***

i:
Material: P2RuBrCl
Method: DFT, PBE
State: relaxed

Cell lengths 4.883, 4.883, 4.915 Å; angles 90.00, 90.00, 90.00 degrees
Positions (direct):
1 P 0.000 0.500 0.000
2 P 0.500 0.000 0.000
3 Ru 0.000 0.000 0.500
4 Br 0.500 0.500 0.000
5 Cl 0.500 0.500 0.500

***

ii:
Material: P2RuBrCl
Method: DFT, PBE
State: relaxed

Cell lengths 4.597, 4.597, 4.895 Å; angles 90.00, 90.00, 90.00 degrees
Positions (direct):
1 P 0.000 0.500 0.000
2 P 0.500 0.000 0.000
3 Ru 0.000 0.000 0.000
4 Br 0.500 0.500 0.500
5 Cl 0.000 0.000 0.500

***

In terms of stability, ii leads; the second structure lies 1.451 eV/atom higher.